Compound: La6FeGe2
Source: the Alexandria database
Functional: GGA-PBE
Structure: relaxed

Lattice parameters (Å, degrees): 6.359 8.393 10.154 90.00 88.10 90.00
Positions (direct):
La  0.104  0.027  0.258
La  0.149  0.326  0.550
La  0.144  0.335  0.947
La  0.356  0.835  0.553
La  0.351  0.826  0.950
La  0.396  0.527  0.242
La  0.896  0.973  0.742
La  0.851  0.674  0.450
La  0.856  0.665  0.053
La  0.644  0.165  0.447
La  0.649  0.174  0.050
La  0.604  0.473  0.758
Fe  0.500  0.500  0.000
Fe  0.000  0.000  0.500
Ge  0.073  0.617  0.746
Ge  0.427  0.117  0.754
Ge  0.573  0.883  0.246
Ge  0.927  0.383  0.254

## Properties
* total moment: 0.00 μB per formula unit
* crystal system: monoclinic
* E_form: -0.381 eV per atom
* ρ: 6.343 g/cm³